Density functional theory data (PBE) for an optimized crystal structure of SrZr2Cd.

Cell and atoms, written as extended XYZ:
```
4
Lattice="3.321 0.000 0.000 0.000 4.256 0.000 0.000 0.000 8.013" Properties=species:S:1:pos:R:3 pbc="T T T"
Cd 1.661 2.128 2.003
Sr 1.661 2.128 6.010
Zr 0.000 0.000 0.572
Zr 0.000 0.000 3.435
```

* ΔH_f (0 K): 0.35 eV per atom
* spin magnetization: 0.162 μB/atom
* crystal system: orthorhombic
* SG: Pmmm

***

Density functional theory data (PBE) for an optimized crystal structure of TcSn2Au.

Cell and atoms, written as extended XYZ:
```
4
Lattice="-1.018 -0.493 -2.807 0.453 -2.683 -1.324 -9.468 -4.591 2.609" Properties=species:S:1:pos:R:3 pbc="T T T"
Au -5.017 -3.884 -0.761
Sn -7.087 -3.685 1.586
Sn -2.946 -4.082 -3.109
Tc 0.000 0.000 0.000
```

* ΔH_f (0 K): 0.60 eV per atom
* spin magnetization: 0.283 μB/atom
* crystal system: trigonal
* SG: R-3m

***

Density functional theory data (PBE) for an optimized crystal structure of SrHo2Rh9.

Cell and atoms, written as extended XYZ:
```
12
Lattice="5.093 0.000 1.516 2.321 4.533 1.516 0.020 0.012 9.245" Properties=species:S:1:pos:R:3 pbc="T T T"
Sr 0.000 0.000 0.000
Ho 6.392 3.908 6.464
Ho 1.042 0.637 5.812
Rh 4.965 3.036 11.257
Rh 2.469 1.509 1.019
Rh 3.717 2.273 6.138
Rh 3.088 1.888 3.582
Rh 5.641 1.888 4.342
Rh 4.251 4.161 4.342
Rh 4.346 2.657 8.694
Rh 3.182 0.385 7.934
Rh 1.793 2.657 7.934
```

* ΔH_f (0 K): -0.45 eV per atom
* spin magnetization: 0.000 μB/atom
* crystal system: trigonal
* SG: R-3m

***

Density functional theory data (PBE) for an optimized crystal structure of CoTc2W.

Cell and atoms, written as extended XYZ:
```
4
Lattice="-2.053 -1.763 0.379 0.050 -0.837 -3.619 3.669 -4.059 0.989" Properties=species:S:1:pos:R:3 pbc="T T T"
Co 1.750 -4.344 -0.878
Tc 3.578 -3.960 0.965
Tc 1.924 -2.129 0.519
W -0.084 -2.315 -1.373
```

* ΔH_f (0 K): 0.16 eV per atom
* spin magnetization: 0.108 μB/atom
* crystal system: orthorhombic
* SG: Pmmm

***

Density functional theory data (PBE) for an optimized crystal structure of Ir4Pt2Rh.

Cell and atoms, written as extended XYZ:
```
7
Lattice="-2.501 -0.504 -0.954 -0.640 -2.385 2.940 -2.558 8.325 6.199" Properties=species:S:1:pos:R:3 pbc="T T T"
Ir -4.876 5.562 5.959
Ir -2.215 1.791 0.971
Ir -0.823 -0.126 2.226
Ir -2.845 6.030 4.274
Pt -3.894 3.479 4.482
Pt -1.806 1.957 3.702
Rh -1.251 -0.252 -0.477
```

* ΔH_f (0 K): 0.13 eV per atom
* spin magnetization: 0.000 μB/atom
* crystal system: orthorhombic
* SG: Cmmm

***

Density functional theory data (PBE) for an optimized crystal structure of Gd2HfIn.

Cell and atoms, written as extended XYZ:
```
4
Lattice="3.358 0.000 0.000 0.000 3.358 0.000 0.000 0.000 9.535" Properties=species:S:1:pos:R:3 pbc="T T T"
Gd 0.000 0.000 7.146
Gd 0.000 0.000 2.389
Hf 1.679 1.679 4.768
In 1.679 1.679 0.000
```

* ΔH_f (0 K): -0.14 eV per atom
* spin magnetization: 3.580 μB/atom
* crystal system: tetragonal
* SG: P4/mmm

***

Density functional theory data (PBE) for an optimized crystal structure of Sr5PrBi5.

Cell and atoms, written as extended XYZ:
```
11
Lattice="6.707 0.000 0.000 -3.354 7.888 0.042 0.000 -2.907 8.936" Properties=species:S:1:pos:R:3 pbc="T T T"
Sr 3.354 1.942 2.909
Sr 3.354 0.324 7.642
Sr 0.000 -1.453 4.468
Sr 0.000 4.657 1.336
Sr 0.000 3.039 6.069
Pr 0.000 0.000 0.000
Bi 3.354 5.009 1.562
Bi 3.354 3.409 6.036
Bi 3.354 0.000 0.000
Bi 0.000 1.572 2.941
Bi 0.000 -0.028 7.415
```

* ΔH_f (0 K): -0.74 eV per atom
* spin magnetization: 0.000 μB/atom
* crystal system: monoclinic
* SG: C2/m

***

Density functional theory data (PBE) for an optimized crystal structure of CeHoBi.

Cell and atoms, written as extended XYZ:
```
3
Lattice="-3.391 0.529 1.542 -1.774 -4.458 -2.371 2.181 -0.252 4.881" Properties=species:S:1:pos:R:3 pbc="T T T"
Bi -0.228 0.036 0.104
Ce -1.515 -1.283 3.545
Ho -1.241 -2.933 0.404
```

* ΔH_f (0 K): -0.23 eV per atom
* spin magnetization: 0.611 μB/atom
* crystal system: trigonal
* SG: P3m1

***

Density functional theory data (PBE) for an optimized crystal structure of La2Ru.

Cell and atoms, written as extended XYZ:
```
3
Lattice="-4.335 -1.972 1.501 3.431 -2.890 -2.194 1.310 -0.659 2.916" Properties=species:S:1:pos:R:3 pbc="T T T"
La -1.747 -2.278 0.269
La 0.842 -2.584 -0.962
Ru 0.655 -0.330 1.458
```

* ΔH_f (0 K): 0.21 eV per atom
* spin magnetization: 0.000 μB/atom
* crystal system: hexagonal
* SG: P6/mmm

***

Density functional theory data (PBE) for an optimized crystal structure of Cs2BaAg2Br6.

Cell and atoms, written as extended XYZ:
```
11
Lattice="8.410 0.000 0.000 -4.205 7.380 0.027 0.000 -4.196 7.572" Properties=species:S:1:pos:R:3 pbc="T T T"
Cs 4.205 2.607 1.499
Cs 0.000 0.577 6.101
Ba 4.205 -2.098 3.786
Ag 4.205 3.229 6.080
Ag 0.000 -0.045 1.520
Br 4.205 0.958 4.779
Br -2.097 5.730 1.394
Br 2.108 -2.546 6.206
Br 6.302 -2.546 6.206
Br 2.097 5.730 1.394
Br 0.000 2.226 2.821
```

* raw formation energy: -1.35 eV per atom
* spin magnetization: 0.000 μB/atom
* crystal system: monoclinic
* SG: C2/m

***

Density functional theory data (PBE) for an optimized crystal structure of CrMoIr4.

Cell and atoms, written as extended XYZ:
```
6
Lattice="-2.517 2.792 3.482 -2.268 4.382 -1.383 -5.113 0.298 -0.165" Properties=species:S:1:pos:R:3 pbc="T T T"
Cr 0.000 0.000 0.000
Mo -2.475 1.868 0.484
Ir -6.190 4.672 1.210
Ir -3.626 4.523 1.292
Ir -5.053 2.476 1.903
Ir -4.928 3.273 -0.536
```

* ΔH_f (0 K): 0.30 eV per atom
* spin magnetization: 0.598 μB/atom
* crystal system: cubic
* SG: F-43m

***

Density functional theory data (PBE) for an optimized crystal structure of MgVTcIr.

Cell and atoms, written as extended XYZ:
```
4
Lattice="-0.271 -3.256 2.847 3.207 -2.900 0.288 2.572 -0.048 3.488" Properties=species:S:1:pos:R:3 pbc="T T T"
Mg 4.131 -4.653 4.967
Ir 0.000 0.000 0.000
Tc 2.754 -3.102 3.311
V 1.377 -1.551 1.656
```

* ΔH_f (0 K): -0.23 eV per atom
* spin magnetization: 0.000 μB/atom
* crystal system: cubic
* SG: F-43m

***

Density functional theory data (PBE) for an optimized crystal structure of Sb3WS.

Cell and atoms, written as extended XYZ:
```
5
Lattice="-1.714 2.829 -3.987 -2.162 -4.228 -2.071 -4.385 0.978 2.579" Properties=species:S:1:pos:R:3 pbc="T T T"
Sb -1.081 -2.114 -1.036
Sb -2.192 0.489 1.290
Sb -0.857 1.415 -1.993
S -4.130 -0.210 -1.739
W 0.000 0.000 0.000
```

* raw formation energy: 0.61 eV per atom
* spin magnetization: 0.000 μB/atom
* crystal system: cubic
* SG: Pm-3m

***

Density functional theory data (PBE) for an optimized crystal structure of UZnSnRh.

Cell and atoms, written as extended XYZ:
```
4
Lattice="4.785 0.000 0.000 2.393 4.144 0.000 2.393 1.381 3.907" Properties=species:S:1:pos:R:3 pbc="T T T"
Rh 0.000 0.000 0.000
Zn 4.785 2.763 1.954
U 7.178 4.144 2.930
Sn 2.393 1.381 0.977
```

* ΔH_f (0 K): -0.21 eV per atom
* spin magnetization: 0.494 μB/atom
* crystal system: cubic
* SG: F-43m

***

Density functional theory data (PBE) for an optimized crystal structure of LiBC.

Cell and atoms, written as extended XYZ:
```
3
Lattice="2.388 -0.731 3.114 3.674 -1.366 0.758 3.456 1.269 1.544" Properties=species:S:1:pos:R:3 pbc="T T T"
C 2.875 -0.250 1.636
B 5.995 -0.522 3.412
Li 1.033 -0.090 0.588
```

* ΔH_f (0 K): -0.34 eV per atom
* spin magnetization: 0.000 μB/atom
* crystal system: trigonal
* SG: R3m

***

Density functional theory data (PBE) for an optimized crystal structure of NdSm3Hg4.

Cell and atoms, written as extended XYZ:
```
8
Lattice="-0.280 0.942 3.630 2.855 -6.853 1.998 6.353 6.071 -3.033" Properties=species:S:1:pos:R:3 pbc="T T T"
Nd -0.140 0.471 1.815
Sm 1.428 -3.427 0.999
Sm 3.088 1.262 -0.089
Sm 5.840 -1.102 2.685
Hg 6.206 0.913 0.242
Hg 2.722 -0.753 2.353
Hg 3.870 -3.517 3.159
Hg 5.058 3.677 -0.564
```

* ΔH_f (0 K): -0.33 eV per atom
* spin magnetization: 0.000 μB/atom
* crystal system: orthorhombic
* SG: Immm

***

Density functional theory data (PBE) for an optimized crystal structure of Li2LaGeS4.

Cell and atoms, written as extended XYZ:
```
16
Lattice="-7.486 0.088 1.967 -1.501 -5.570 -5.160 5.805 -0.855 5.553" Properties=species:S:1:pos:R:3 pbc="T T T"
Li -3.743 0.044 0.983
Li -0.840 -0.383 3.760
Li 2.903 -0.427 2.776
Li -4.493 -2.741 -1.597
La -0.751 -2.785 -2.580
La -5.334 -3.124 2.163
Ge -1.591 -3.168 1.180
Ge -1.680 -0.767 7.519
S -3.020 -4.269 -3.374
S -3.016 -1.685 2.900
S -0.166 -4.651 -0.541
S -0.162 -2.068 5.733
S -0.997 -5.009 2.951
S -3.640 -4.625 0.426
S 0.458 -1.712 1.933
S -2.185 -1.328 -0.592
```

* raw formation energy: -1.17 eV per atom
* spin magnetization: 0.000 μB/atom
* crystal system: orthorhombic
* SG: Imma

***

Density functional theory data (PBE) for an optimized crystal structure of HgTeO3.

Cell and atoms, written as extended XYZ:
```
20
Lattice="-5.547 2.593 1.621 -2.580 -0.332 -7.168 -5.681 -5.088 1.358" Properties=species:S:1:pos:R:3 pbc="T T T"
Hg -8.933 -1.850 1.901
Hg -4.876 -0.978 -6.091
Hg -6.702 -3.881 -0.533
Hg -7.107 1.053 -3.657
O -4.515 1.046 1.216
O -9.293 -3.874 -5.406
O -4.608 -1.872 0.831
O -9.200 -0.956 -5.020
O -1.760 -1.000 -0.954
O -12.048 -1.828 -3.236
O -8.464 -2.142 -0.134
O -5.345 -0.686 -4.055
O -5.304 -3.233 -2.126
O -8.505 0.405 -2.064
O -5.325 1.638 -2.069
O -8.484 -4.466 -2.120
Te -5.994 0.089 0.491
Te -7.814 -2.917 -4.680
Te -3.872 -0.781 -2.775
Te -9.936 -2.047 -1.415
```

* raw formation energy: -0.75 eV per atom
* spin magnetization: 0.000 μB/atom
* crystal system: triclinic
* SG: P-1

***

Density functional theory data (PBE) for an optimized crystal structure of ErAuS.

Cell and atoms, written as extended XYZ:
```
12
Lattice="-1.602 -0.151 3.487 6.958 -1.993 3.111 -1.466 10.249 -2.346" Properties=species:S:1:pos:R:3 pbc="T T T"
S 1.018 1.366 0.527
S -0.190 8.392 0.275
S 4.081 -0.287 3.977
S 2.872 6.739 3.725
Au 2.857 3.149 1.449
Au 4.022 2.899 4.087
Au 1.033 4.955 2.803
Au -0.131 5.206 0.164
Er 1.997 7.424 1.238
Er -0.788 2.888 1.877
Er 1.894 0.681 3.014
Er 4.678 5.217 2.374
```

* raw formation energy: -1.20 eV per atom
* spin magnetization: 0.000 μB/atom
* crystal system: monoclinic
* SG: C2/m

***

Density functional theory data (PBE) for an optimized crystal structure of MnGaMo3.

Cell and atoms, written as extended XYZ:
```
5
Lattice="-2.777 1.030 3.338 -0.206 -4.305 1.157 3.487 0.566 2.727" Properties=species:S:1:pos:R:3 pbc="T T T"
Mo -0.103 -2.152 0.579
Mo 1.743 0.283 1.363
Mo -1.389 0.515 1.669
Mn 0.000 0.000 0.000
Ga 0.252 -1.354 3.611
```

* ΔH_f (0 K): 1.03 eV per atom
* spin magnetization: 0.000 μB/atom
* crystal system: cubic
* SG: Pm-3m

***

Density functional theory data (PBE) for an optimized crystal structure of PmPr3Th2P6.

Cell and atoms, written as extended XYZ:
```
12
Lattice="7.228 -0.004 0.001 -3.616 6.258 0.001 -1.204 -2.085 6.810" Properties=species:S:1:pos:R:3 pbc="T T T"
Pm 0.000 0.000 0.000
Pr -2.418 4.177 3.406
Pr 4.827 -0.007 3.406
Pr 1.204 2.085 3.406
Th -0.003 4.172 0.001
Th 3.615 2.082 0.001
P 3.620 2.070 5.155
P 2.400 4.156 1.661
P -1.212 2.099 1.658
P -0.016 4.171 5.155
P 0.008 0.014 5.152
P 2.424 -0.001 1.658
```

* ΔH_f (0 K): -1.57 eV per atom
* spin magnetization: 0.000 μB/atom
* crystal system: monoclinic
* SG: C2/m

***

Density functional theory data (PBE) for an optimized crystal structure of SrLaSnN3.

Cell and atoms, written as extended XYZ:
```
12
Lattice="3.548 0.000 0.000 0.000 6.955 0.987 0.000 -1.889 9.962" Properties=species:S:1:pos:R:3 pbc="T T T"
Sr 2.661 4.050 8.330
Sr 0.887 1.016 2.619
La 0.887 4.453 1.724
La 2.661 0.613 9.225
Sn 0.887 -0.204 6.073
Sn 2.661 5.270 4.876
N 0.887 4.765 5.978
N 2.661 5.917 2.967
N 2.661 2.688 1.631
N 2.661 0.302 4.971
N 0.887 2.378 9.318
N 0.887 -0.850 7.982
```

* raw formation energy: -0.47 eV per atom
* spin magnetization: 0.000 μB/atom
* crystal system: monoclinic
* SG: P2_1/m

***

Density functional theory data (PBE) for an optimized crystal structure of RbCaI2.

Cell and atoms, written as extended XYZ:
```
4
Lattice="-0.759 1.549 4.248 1.291 -2.503 3.618 10.174 4.751 2.561" Properties=species:S:1:pos:R:3 pbc="T T T"
I 1.764 0.486 2.612
I 8.942 3.310 7.814
Ca 0.000 0.000 0.000
Rb 5.353 1.898 5.213
```

* raw formation energy: -1.18 eV per atom
* spin magnetization: 0.000 μB/atom
* crystal system: trigonal
* SG: R-3m

***

Density functional theory data (PBE) for an optimized crystal structure of Ac2LaTbY.

Cell and atoms, written as extended XYZ:
```
10
Lattice="-1.482 6.378 1.568 -6.067 0.228 -6.661 -4.600 -2.081 4.117" Properties=species:S:1:pos:R:3 pbc="T T T"
Ac -8.771 3.151 -0.475
Ac -6.311 3.058 2.227
Ac -5.838 1.467 -3.203
Ac -3.378 1.374 -0.501
La -2.005 3.158 1.934
La -4.077 1.139 3.752
Tb 0.000 0.000 0.000
Tb -2.300 -1.041 2.059
Y -6.761 -0.254 0.050
Y -5.388 4.779 -1.027
```

* ΔH_f (0 K): 0.26 eV per atom
* spin magnetization: 0.000 μB/atom
* crystal system: orthorhombic
* SG: Pmma

***

Density functional theory data (PBE) for an optimized crystal structure of HoTiZnGa.

Cell and atoms, written as extended XYZ:
```
4
Lattice="4.740 0.000 0.000 2.370 4.105 0.000 2.370 1.368 3.870" Properties=species:S:1:pos:R:3 pbc="T T T"
Zn 7.110 4.105 2.903
Ho 0.000 0.000 0.000
Ga 2.370 1.368 0.968
Ti 4.740 2.737 1.935
```

* ΔH_f (0 K): -0.31 eV per atom
* spin magnetization: 0.000 μB/atom
* crystal system: cubic
* SG: F-43m

***

Computed values of raw total energy (unit: eV per atom) for the preceding records, in sequence: -4.58; -4.81; -6.87; -10.04; -7.71; -10.36; -3.70; -5.03; -6.17; -3.11; -9.02; -7.72; -5.28; -6.18; -6.28; -2.84; -4.90; -4.41; -5.19; -7.90; -7.10; -6.40; -2.70; -4.59; -4.50.